No. 1
Compound: Re2NiRh
Source: the Alexandria database
Functional: PBE
Structure: optimized geometry

Unit cell a=4.2982 b=4.2982 c=4.2982 alpha=60.00 beta=60.00 gamma=60.00
Atoms (fractional coordinates):
1 Re 0.2500 0.2500 0.2500
2 Re 0.7500 0.7500 0.7500
3 Rh 0.5000 0.5000 0.5000
4 Ni 0.0000 0.0000 0.0000

Energy relative to the lowest polymorph listed for this composition   0.570 eV per atom
E   -36.084 eV per cell
Formation energy from the elements   0.4862 eV/atom


No. 2
Compound: HoScAg
Source: the Alexandria database
Functional: PBE
Structure: optimized geometry

Unit cell a=3.4732 b=3.4732 c=6.4921 alpha=105.52 beta=105.52 gamma=90.00
Site moments in Bohr magnetons follow the coordinates.
Atoms (fractional coordinates):
1 Sc 0.3137 0.3137 0.6274  0.33
2 Ho 0.0104 0.0104 0.0208  0.35
3 Ag 0.6759 0.6759 0.3518  0.01

Energy relative to the lowest polymorph listed for this composition   0.000 eV per atom
E   -14.222 eV per cell
Formation energy from the elements   -0.1539 eV/atom


No. 3
Compound: Sm4SnGeO
Source: the Alexandria database
Functional: PBE
Structure: optimized geometry

Unit cell a=6.4938 b=6.5279 c=9.1301 alpha=90.00 beta=110.83 gamma=90.00
Site moments in Bohr magnetons follow the coordinates.
Atoms (fractional coordinates):
1 Sm 0.9368 0.2500 0.8736  0.17
2 Sm 0.4214 0.7500 0.8428  0.10
3 Sm 0.0632 0.7500 0.1264  0.17
4 Sm 0.5786 0.2500 0.1572  0.10
5 Sm 0.5000 0.5000 0.5000  0.07
6 Sm 0.0000 0.0000 0.5000  0.07
7 Sm 0.5000 0.0000 0.5000  0.07
8 Sm 0.0000 0.5000 0.5000  0.07
9 Sn 0.6097 0.7500 0.2195  -0.01
10 Sn 0.3903 0.2500 0.7805  -0.01
11 Ge 0.1164 0.2500 0.2328  -0.01
12 Ge 0.8836 0.7500 0.7672  -0.01
13 O 0.2789 0.7500 0.5577  0.00
14 O 0.7211 0.2500 0.4423  0.00

Uncorrected formation energy   -1275 meV/atom
E   -82.760 eV per cell


No. 4
Compound: SrCrAu
Source: the Alexandria database
Functional: PBE
Structure: optimized geometry

Unit cell a=6.0884 b=6.0886 c=3.7175 alpha=72.22 beta=72.23 gamma=35.55
Site moments in Bohr magnetons follow the coordinates.
Atoms (fractional coordinates):
1 Au 0.9658 0.9658 0.0342  0.09
2 Cr 0.3724 0.3724 0.6276  3.85
3 Sr 0.6618 0.6618 0.3382  0.04

Energy relative to the lowest polymorph listed for this composition   0.094 eV per atom
E   -14.281 eV per cell
Formation energy from the elements   0.1005 eV/atom